## YScAg2 (PBE)

Data for YScAg2 after structural relaxation.

Cell lengths 7.8679, 7.8679, 6.3635 Å; angles 51.81, 51.81, 90.00 degrees
Sites, in units of the cell vectors:
Y: 0.0000 0.0000 0.0000
Y: 0.7500 0.2500 0.5000
Sc: 0.5000 0.5000 0.0000
Sc: 0.2500 0.7500 0.5000
Ag: 0.6049 0.1250 0.2500
Ag: 0.1451 0.6250 0.2500
Ag: 0.3750 0.3951 0.7500
Ag: 0.8750 0.8549 0.7500

- ΔE_f (meV per atom) = 120
- offset from the most stable computed form (eV/atom) = 0.414



## Y3ScAg2 (PBE)

Data for Y3ScAg2 after structural relaxation.

Cell lengths 3.6100, 3.6100, 11.8351 Å; angles 90.00, 90.00, 90.00 degrees
Sites, in units of the cell vectors:
Y: 0.0000 0.0000 0.0000
Y: 0.0000 0.0000 0.6878
Y: 0.0000 0.0000 0.3122
Sc: 0.5000 0.5000 0.5000
Ag: 0.5000 0.5000 0.8429
Ag: 0.5000 0.5000 0.1571

- ΔE_f (meV per atom) = -194



## YScAg6 (PBE)

Data for YScAg6 after structural relaxation.

Cell lengths 4.3658, 5.1491, 8.0692 Å; angles 79.48, 74.30, 64.92 degrees
Sites, in units of the cell vectors:
Y: 0.0000 0.5000 0.5000
Sc: 0.0000 0.0000 0.0000
Ag: 0.2466 0.8707 0.6362
Ag: 0.5041 0.2366 0.7552
Ag: 0.2523 0.3785 0.1170
Ag: 0.4959 0.7634 0.2448
Ag: 0.7534 0.1293 0.3638
Ag: 0.7477 0.6215 0.8830

- ΔE_f (meV per atom) = -196



## YSc4Ag (PBE)

Data for YSc4Ag after structural relaxation.

Cell lengths 5.2099, 6.0447, 9.8891 Å; angles 90.00, 105.27, 90.00 degrees
Sites, in units of the cell vectors:
Y: 0.9362 0.7660 0.8724
Y: 0.0638 0.2660 0.1276
Sc: 0.8601 0.2625 0.7202
Sc: 0.1399 0.7625 0.2798
Sc: 0.4572 0.0966 0.9145
Sc: 0.5428 0.5966 0.0855
Sc: 0.6858 0.4040 0.3716
Sc: 0.3142 0.9040 0.6284
Sc: 0.7465 0.8870 0.4929
Sc: 0.2535 0.3870 0.5071
Ag: 0.6013 0.0172 0.2027
Ag: 0.3987 0.5172 0.7973

- ΔE_f (meV per atom) = 45
- offset from the most stable computed form (eV/atom) = 0.000



## YScAg3 (PBE)

Data for YScAg3 after structural relaxation.

Cell lengths 5.0529, 5.0529, 5.0529 Å; angles 90.00, 90.00, 90.00 degrees
Sites, in units of the cell vectors:
Y: 0.5000 0.5000 0.5000
Sc: 0.0000 0.0000 0.0000
Ag: 0.0000 0.5000 0.0000
Ag: 0.0000 0.0000 0.5000
Ag: 0.5000 0.0000 0.0000

- ΔE_f (meV per atom) = 408
- offset from the most stable computed form (eV/atom) = 0.000



## YScAg (PBE)

Data for YScAg after structural relaxation.

Cell lengths 4.8753, 4.8753, 3.6150 Å; angles 90.00, 90.00, 120.00 degrees
Sites, in units of the cell vectors:
Ag: 0.0000 0.0000 0.0818
Sc: 0.3333 0.6667 0.2238
Y: 0.6667 0.3333 0.6944

- ΔE_f (meV per atom) = -42
- offset from the most stable computed form (eV/atom) = 0.117



## Y6Sc2Ag (PBE)

Data for Y6Sc2Ag after structural relaxation.

Cell lengths 5.2605, 9.9694, 9.9707 Å; angles 90.00, 90.01, 90.00 degrees
Sites, in units of the cell vectors:
Y: 0.9999 0.0381 0.1842
Y: 0.0001 0.6842 0.5386
Y: 0.0000 0.6239 0.8764
Y: 0.5000 0.1239 0.6236
Y: 0.4999 0.1842 0.9614
Y: 0.5001 0.5381 0.3158
Y: 0.0001 0.9619 0.8158
Y: 0.9999 0.3158 0.4614
Y: 0.0000 0.3761 0.1236
Y: 0.5000 0.8761 0.3764
Y: 0.5001 0.8158 0.0386
Y: 0.4999 0.4619 0.6842
Sc: 0.9998 0.2891 0.7887
Sc: 0.5002 0.7891 0.7113
Sc: 0.4998 0.2109 0.2887
Sc: 0.0002 0.7109 0.2113
Ag: 0.5000 0.5000 0.0000
Ag: 0.0000 0.0000 0.5000

- ΔE_f (meV per atom) = 10



## YSc2Ag3 (PBE)

Data for YSc2Ag3 after structural relaxation.

Cell lengths 3.4805, 3.4805, 10.6474 Å; angles 90.00, 90.00, 90.00 degrees
Sites, in units of the cell vectors:
Y: 0.5000 0.5000 0.5000
Sc: 0.5000 0.5000 0.1601
Sc: 0.5000 0.5000 0.8399
Ag: 0.0000 0.0000 0.0000
Ag: 0.0000 0.0000 0.6864
Ag: 0.0000 0.0000 0.3136

- ΔE_f (meV per atom) = -289



## Y3Sc2Ag3 (PBE)

Data for Y3Sc2Ag3 after structural relaxation.

Cell lengths 3.5742, 5.1470, 11.0423 Å; angles 103.48, 99.31, 90.00 degrees
Sites, in units of the cell vectors:
Y: 0.3758 0.3758 0.7516
Y: 0.6242 0.6242 0.2484
Y: 0.5000 0.0000 0.0000
Sc: 0.2661 0.7661 0.5322
Sc: 0.7339 0.2339 0.4678
Ag: 0.8758 0.8758 0.7515
Ag: 0.0000 0.5000 0.0000
Ag: 0.1242 0.1242 0.2485

- ΔE_f (meV per atom) = -230



## YSc3Ag4 (PBE)

Data for YSc3Ag4 after structural relaxation.

Cell lengths 3.4845, 3.4845, 13.9591 Å; angles 90.00, 90.00, 90.00 degrees
Sites, in units of the cell vectors:
Y: 0.5000 0.5000 0.0000
Sc: 0.5000 0.5000 0.2581
Sc: 0.5000 0.5000 0.5000
Sc: 0.5000 0.5000 0.7419
Ag: 0.0000 0.0000 0.8583
Ag: 0.0000 0.0000 0.1417
Ag: 0.0000 0.0000 0.3788
Ag: 0.0000 0.0000 0.6212

- ΔE_f (meV per atom) = -283



## YSc4Ag (PBE)

Data for YSc4Ag after structural relaxation.

Cell lengths 5.9869, 5.9869, 5.9869 Å; angles 60.00, 60.00, 60.00 degrees
Sites, in units of the cell vectors:
Y: 0.7500 0.7500 0.7500
Sc: 0.8729 0.3757 0.3757
Sc: 0.3757 0.3757 0.8729
Sc: 0.3757 0.8729 0.3757
Sc: 0.3757 0.3757 0.3757
Ag: 0.0000 0.0000 0.0000

- ΔE_f (meV per atom) = 261
- offset from the most stable computed form (eV/atom) = 0.216



## Y5ScAg6 (PBE)

Data for Y5ScAg6 after structural relaxation.

Cell lengths 5.1283, 7.1719, 8.1087 Å; angles 90.00, 71.58, 90.00 degrees
Sites, in units of the cell vectors:
Y: 0.6685 0.5000 0.6631
Y: 0.3345 0.0000 0.3308
Y: 0.0000 0.5000 0.0000
Y: 0.6655 0.0000 0.6692
Y: 0.3315 0.5000 0.3369
Sc: 0.0000 0.0000 0.0000
Ag: 0.8381 0.7573 0.3236
Ag: 0.8381 0.2427 0.3236
Ag: 0.5000 0.2412 0.0000
Ag: 0.5000 0.7588 0.0000
Ag: 0.1619 0.7573 0.6764
Ag: 0.1619 0.2427 0.6764

- ΔE_f (meV per atom) = -314